(1)
Here is TlInSiO4 after structural relaxation from the Alexandria database. Energies are from PBE-GGA.

Values from the calculation:
For the calculated volume, the calculation gives 232.2 Å³ per cell. The value obtained for the density of states at the Fermi level is 0.000 states/eV per atom. The final energy is -86.47 eV per cell. As for the space group: P2_1/m, No. 11. The formation energy (no corrections) comes out at -1839 meV/atom. As for the total magnetization: 0.000 μB per formula unit.

a b c (Å): 5.411 5.650 9.126
angles (deg): 90.00 123.65 90.00
Fractional coordinates of all 14 atoms:
O (0.956, 0.976, 0.335)
Tl (0.384, 0.250, 0.127)
O (0.044, 0.024, 0.665)
O (0.956, 0.524, 0.335)
O (0.308, 0.750, 0.233)
O (0.692, 0.250, 0.767)
Si (0.171, 0.750, 0.354)
In (0.772, 0.750, 0.468)
In (0.228, 0.250, 0.532)
Si (0.829, 0.250, 0.646)
O (0.529, 0.250, 0.442)
O (0.471, 0.750, 0.558)
Tl (0.616, 0.750, 0.873)
O (0.044, 0.476, 0.665)



(2)
Here is Tl2InSi2O6 after structural relaxation from the Alexandria database. Energies are from PBE-GGA.

Values from the calculation:
For the calculated volume, the calculation gives 170.9 Å³ per cell. The value obtained for the density of states at the Fermi level is 0.148 states/eV per atom. The final energy is -66.44 eV per cell. As for the space group: R-3m, No. 166. The formation energy (no corrections) comes out at -1670 meV/atom. As for the total magnetization: 0.554 μB per formula unit.

a b c (Å): 5.827 5.827 6.714
angles (deg): 64.28 64.28 60.00
Fractional coordinates of all 11 atoms:
O (0.276, 0.750, 0.223)
Si (0.424, 0.424, 0.729)
Tl (0.785, 0.785, 0.645)
O (0.724, 0.250, 0.777)
O (0.750, 0.276, 0.223)
Si (0.576, 0.576, 0.271)
O (0.250, 0.250, 0.777)
In (0.000, 0.000, 0.000)
Tl (0.215, 0.215, 0.355)
O (0.750, 0.750, 0.223)
O (0.250, 0.724, 0.777)



(3)
Here is ZnInSi2O after structural relaxation from the Alexandria database. Energies are from PBE-GGA.

Values from the calculation:
For the calculated volume, the calculation gives 93.4 Å³ per cell. The value obtained for the density of states at the Fermi level is 0.567 states/eV per atom. The final energy is -17.74 eV per cell. As for the space group: P4/mmm, No. 123. The formation energy (no corrections) comes out at 416 meV/atom. As for the total magnetization: 0.000 μB per formula unit.

a b c (Å): 5.077 3.624 5.077
angles (deg): 90.00 90.00 90.00
Fractional coordinates of all 5 atoms:
Zn (0.000, 0.000, 0.000)
O (0.000, 0.500, 0.000)
Si (0.500, 0.000, 0.000)
In (0.500, 0.500, 0.500)
Si (0.000, 0.000, 0.500)



Look up the formation energy (no corrections) of the first one.
-1839 meV/atom



Among the records above, which one has the highest calculated volume?
TlInSiO4



Copy entry 1 word for word.
Here is TlInSiO4 after structural relaxation from the Alexandria database. Energies are from PBE-GGA.

Values from the calculation:
For the calculated volume, the calculation gives 232.2 Å³ per cell. The value obtained for the density of states at the Fermi level is 0.000 states/eV per atom. The final energy is -86.47 eV per cell. As for the space group: P2_1/m, No. 11. The formation energy (no corrections) comes out at -1839 meV/atom. As for the total magnetization: 0.000 μB per formula unit.

a b c (Å): 5.411 5.650 9.126
angles (deg): 90.00 123.65 90.00
Fractional coordinates of all 14 atoms:
O (0.956, 0.976, 0.335)
Tl (0.384, 0.250, 0.127)
O (0.044, 0.024, 0.665)
O (0.956, 0.524, 0.335)
O (0.308, 0.750, 0.233)
O (0.692, 0.250, 0.767)
Si (0.171, 0.750, 0.354)
In (0.772, 0.750, 0.468)
In (0.228, 0.250, 0.532)
Si (0.829, 0.250, 0.646)
O (0.529, 0.250, 0.442)
O (0.471, 0.750, 0.558)
Tl (0.616, 0.750, 0.873)
O (0.044, 0.476, 0.665)